# 1
Entry from Alexandria: a geometry-optimized HoZnSnIr structure (GGA-PBE).

Formation energy from the elements in kJ/mol of atoms: -41
Total DFT energy (no corrections) in eV per atom: -5.107
Symmetry: F-43m
M_tot in μB/f.u.: 0.0

a = 4.762 Å, b = 4.762 Å, c = 4.762 Å
α = 60.00°, β = 60.00°, γ = 60.00°
Fractional positions:
Zn 0.000 0.000 0.000
Ir 0.500 0.500 0.500
Ho 0.250 0.250 0.250
Sn 0.750 0.750 0.750

# 2
Entry from Alexandria: a geometry-optimized SrHoIr structure (GGA-PBE).

Formation energy from the elements in kJ/mol of atoms: -34
Total DFT energy (no corrections) in eV per atom: -5.391
Symmetry: F-43m
M_tot in μB/f.u.: 0.0
Distance to the lowest polymorph of the same formula in meV/atom: 42.8

a = 4.934 Å, b = 4.934 Å, c = 4.934 Å
α = 60.00°, β = 60.00°, γ = 60.00°
Fractional positions:
Sr 0.000 0.000 0.000
Ir 0.250 0.250 0.250
Ho 0.500 0.500 0.500

# 3
Entry from Alexandria: a geometry-optimized SrHoIr structure (GGA-PBE).

Formation energy from the elements in kJ/mol of atoms: -23
Total DFT energy (no corrections) in eV per atom: -5.279
Symmetry: C2/m
M_tot in μB/f.u.: 0.0
Distance to the lowest polymorph of the same formula in meV/atom: 155.4

a = 3.983 Å, b = 9.251 Å, c = 11.418 Å
α = 80.33°, β = 100.04°, γ = 90.00°
Fractional positions:
Sr 0.108 0.396 0.215
Sr 0.473 0.212 0.946
Sr 0.527 0.788 0.054
Sr 0.892 0.604 0.785
Ir 0.288 0.681 0.577
Ir 0.771 0.876 0.541
Ir 0.712 0.319 0.423
Ir 0.229 0.124 0.459
Ho 0.294 0.373 0.588
Ho 0.659 0.034 0.318
Ho 0.706 0.627 0.412
Ho 0.341 0.966 0.682

# 4
Entry from Alexandria: a geometry-optimized SrHoIr structure (GGA-PBE).

Formation energy from the elements in kJ/mol of atoms: -38
Total DFT energy (no corrections) in eV per atom: -5.434
Symmetry: I4mm
M_tot in μB/f.u.: 0.0
Distance to the lowest polymorph of the same formula in meV/atom: 0.0

a = 3.530 Å, b = 3.530 Å, c = 7.256 Å
α = 104.08°, β = 104.08°, γ = 90.00°
Fractional positions:
Sr 0.033 0.033 0.066
Ir 0.683 0.683 0.366
Ho 0.284 0.284 0.568

# 5
Entry from Alexandria: a geometry-optimized SrHo3Ir structure (GGA-PBE).

Formation energy from the elements in kJ/mol of atoms: -33
Total DFT energy (no corrections) in eV per atom: -5.199
Symmetry: Pm-3m
M_tot in μB/f.u.: 0.0

a = 5.496 Å, b = 5.496 Å, c = 5.496 Å
α = 90.00°, β = 90.00°, γ = 90.00°
Fractional positions:
Sr 0.500 0.500 0.500
Ir 0.000 0.000 0.000
Ho 0.000 0.500 0.000
Ho 0.000 0.000 0.500
Ho 0.500 0.000 0.000

# 6
Entry from Alexandria: a geometry-optimized HoTa2Ir2 structure (GGA-PBE).

Formation energy from the elements in kJ/mol of atoms: -60
Total DFT energy (no corrections) in eV per atom: -9.819
Symmetry: I4/mmm
M_tot in μB/f.u.: 0.0

a = 4.422 Å, b = 4.422 Å, c = 6.127 Å
α = 111.15°, β = 111.15°, γ = 90.00°
Fractional positions:
Ho 0.000 0.000 0.000
Ta 0.750 0.250 0.500
Ta 0.250 0.750 0.500
Ir 0.624 0.624 0.247
Ir 0.376 0.376 0.753

# 7
Entry from Alexandria: a geometry-optimized HoTaIr structure (GGA-PBE).

Formation energy from the elements in kJ/mol of atoms: -42
Total DFT energy (no corrections) in eV per atom: -8.864
Symmetry: I4/mmm
M_tot in μB/f.u.: 0.0

a = 3.940 Å, b = 3.940 Å, c = 8.493 Å
α = 103.41°, β = 103.41°, γ = 90.00°
Fractional positions:
Ir 0.124 0.124 0.249
Ir 0.876 0.876 0.751
Ta 0.000 0.500 0.000
Ta 0.500 0.000 0.000
Ho 0.676 0.676 0.352
Ho 0.324 0.324 0.648

# 8
Entry from Alexandria: a geometry-optimized Tb3HoIr structure (GGA-PBE).

Formation energy from the elements in kJ/mol of atoms: -31
Total DFT energy (no corrections) in eV per atom: -5.789
Symmetry: Pmn2_1
M_tot in μB/f.u.: 0.0
Distance to the lowest polymorph of the same formula in meV/atom: 0.0

a = 6.190 Å, b = 6.533 Å, c = 7.649 Å
α = 90.01°, β = 90.00°, γ = 90.00°
Fractional positions:
Tb 0.422 0.329 0.201
Tb 0.425 0.864 0.950
Tb 0.925 0.489 0.451
Tb 0.922 0.024 0.701
Tb 0.925 0.489 0.951
Tb 0.425 0.864 0.451
Ho 0.429 0.331 0.701
Ho 0.929 0.022 0.201
Ir 0.176 0.675 0.701
Ir 0.676 0.678 0.201

# 9
Entry from Alexandria: a geometry-optimized Tb3HoIr2 structure (GGA-PBE).

Formation energy from the elements in kJ/mol of atoms: -61
Total DFT energy (no corrections) in eV per atom: -6.667
Symmetry: Ibam
M_tot in μB/f.u.: 0.0

a = 6.772 Å, b = 7.076 Å, c = 8.379 Å
α = 114.98°, β = 113.84°, γ = 90.00°
Fractional positions:
Tb 0.500 0.250 0.000
Tb 0.500 0.750 0.000
Tb 0.766 0.016 0.531
Tb 0.234 0.484 0.469
Tb 0.234 0.984 0.469
Tb 0.766 0.516 0.531
Ho 0.000 0.500 0.000
Ho 0.000 0.000 0.000
Ir 0.577 0.362 0.725
Ir 0.852 0.138 0.275
Ir 0.148 0.862 0.725
Ir 0.423 0.638 0.275

# 10
Entry from Alexandria: a geometry-optimized Tb2HoIr9 structure (GGA-PBE).

Formation energy from the elements in kJ/mol of atoms: -56
Total DFT energy (no corrections) in eV per atom: -8.378
Symmetry: R-3m
M_tot in μB/f.u.: 0.0

a = 5.307 Å, b = 5.307 Å, c = 9.319 Å
α = 73.46°, β = 73.46°, γ = 60.00°
Fractional positions:
Tb 0.861 0.861 0.417
Tb 0.139 0.139 0.583
Ho 0.000 0.000 0.000
Ir 0.667 0.667 0.998
Ir 0.333 0.333 0.002
Ir 0.500 0.500 0.500
Ir 0.419 0.419 0.246
Ir 0.917 0.419 0.246
Ir 0.419 0.917 0.246
Ir 0.581 0.581 0.754
Ir 0.581 0.083 0.754
Ir 0.083 0.581 0.754

# 11
Entry from Alexandria: a geometry-optimized Tb2HoIr3 structure (GGA-PBE).

Formation energy from the elements in kJ/mol of atoms: -41
Total DFT energy (no corrections) in eV per atom: -7.158
Symmetry: Immm
M_tot in μB/f.u.: 0.0
Distance to the lowest polymorph of the same formula in meV/atom: 381.5

a = 4.002 Å, b = 5.682 Å, c = 6.970 Å
α = 114.05°, β = 106.68°, γ = 90.00°
Fractional positions:
Tb 0.668 0.168 0.335
Tb 0.332 0.832 0.665
Ho 0.000 0.500 0.000
Ir 0.336 0.336 0.672
Ir 0.000 0.000 0.000
Ir 0.664 0.664 0.328

# 12
Entry from Alexandria: a geometry-optimized Tb2HoIr3 structure (GGA-PBE).

Formation energy from the elements in kJ/mol of atoms: -77
Total DFT energy (no corrections) in eV per atom: -7.540
Symmetry: P-3m1
M_tot in μB/f.u.: 0.0
Distance to the lowest polymorph of the same formula in meV/atom: 0.0

a = 4.858 Å, b = 4.858 Å, c = 11.887 Å
α = 90.00°, β = 90.00°, γ = 120.00°
Fractional positions:
Tb 0.000 0.000 0.500
Tb 0.333 0.667 0.167
Tb 0.667 0.333 0.833
Tb 0.000 0.000 0.000
Ho 0.333 0.667 0.666
Ho 0.667 0.333 0.334
Ir 0.333 0.667 0.417
Ir 0.667 0.333 0.084
Ir 0.000 0.000 0.749
Ir 0.000 0.000 0.251
Ir 0.333 0.667 0.916
Ir 0.667 0.333 0.583